First-principles (GGA+U) data for TlMo2P3O13 after structural relaxation, as listed in Alexandria.

Summary:
DFT total energy, eV per formula unit: -134.04
Total magnetic moment, Bohr magnetons per cell: 8.00

extended XYZ file:
```
76
Lattice="19.7961 0.0000 0.0000 0.0000 6.4944 -0.0267 0.0000 2.9153 9.4563" Properties=species:S:1:pos:R:3 pbc="T T T"
Tl 1.8324 3.2456 4.8543
Tl 11.7304 6.1641 4.5753
Tl 7.9914 7.0578 8.2852
Tl 17.8894 2.3518 1.1444
Mo 18.3077 5.4032 4.0214
Mo 8.4096 4.0065 5.4082
Mo 9.2597 0.7420 1.1865
Mo 19.1578 8.6677 8.2431
Mo 4.9484 7.2340 5.2172
Mo 14.8464 2.1757 4.2125
Mo 4.1927 3.9783 1.0090
Mo 14.0907 5.4313 8.4206
P 3.5396 0.7047 1.8813
P 13.4376 8.7050 7.5483
P 1.1248 5.5013 1.8236
P 11.0228 3.9083 7.6061
P 8.1631 7.2413 4.4321
P 18.0612 2.1683 4.9976
P 2.4158 7.1484 7.4618
P 12.3138 2.2612 1.9679
P 9.8980 3.9567 2.0341
P 19.7961 5.4530 7.3955
P 5.2529 3.9803 4.3393
P 15.1509 5.4294 5.0903
O 8.5769 6.0559 5.3457
O 18.4750 3.3537 4.0840
O 5.8179 7.2020 6.6975
O 15.7159 2.2077 2.7321
O 4.5480 3.8718 2.9825
O 14.4460 5.5378 6.4471
O 0.0694 5.6547 0.7349
O 9.9674 3.7549 8.6947
O 3.6553 1.9984 1.0715
O 13.5534 7.4113 8.3582
O 7.6335 0.5757 0.7072
O 17.5316 8.8340 8.7224
O 3.9345 7.3379 3.3199
O 13.8325 2.0717 6.1098
O 2.1113 4.3601 1.6109
O 12.0093 5.0495 7.8187
O 5.8186 3.8405 0.4837
O 15.7166 5.5691 8.9459
O 4.2227 6.0520 1.1095
O 14.1207 3.3577 8.3201
O 1.4296 8.2868 7.6920
O 11.3276 1.1229 1.7376
O 14.6837 6.6275 4.2268
O 4.7857 2.7822 5.2028
O 9.7571 5.2370 1.1956
O 19.6551 4.1726 8.2340
O 9.5203 4.1024 3.4950
O 19.4184 5.3072 5.9346
O 9.0310 7.1674 3.1656
O 18.9290 2.2423 6.2640
O 0.4406 5.3692 3.1983
O 10.3387 4.0404 6.2313
O 18.4797 7.4206 4.1499
O 8.5817 1.9891 5.2797
O 3.4629 6.9815 8.5386
O 13.3609 2.4281 0.8911
O 1.5879 5.7518 7.4353
O 11.4859 3.6579 1.9943
O 1.9376 6.8989 1.8545
O 11.8356 2.5107 7.5752
O 6.7819 4.0133 4.1524
O 16.6800 5.3963 5.2772
O 3.0453 7.2831 6.0648
O 12.9433 2.1266 3.3648
O 17.4496 5.3796 2.5469
O 7.5516 4.0301 6.8827
O 9.1845 2.8287 1.2684
O 19.0826 6.5810 8.1612
O 4.7099 5.2240 5.0756
O 14.6080 4.1857 4.3540
O 6.6703 7.2315 4.0611
O 16.5683 2.1782 5.3685
```